No. 1
The following is a DFT calculation (PBE) of a geometry-optimized Ce2MnGe3Pt4 structure.

a b c (Å): 4.2625 4.2625 10.4915
angles (deg): 90.00 90.00 90.00
With the nearest neighbours (Å) after each atom.
Fractional coordinates of all 10 atoms:
Ce  0.0000  0.5000  0.2474  8 Pt 3.24-3.40, 6 Ge 3.27-3.36, 2 Mn 3.36
Ce  0.5000  0.0000  0.7526  8 Pt 3.24-3.40, 6 Ge 3.27-3.36, 2 Mn 3.36
Mn  0.5000  0.5000  0.0000  4 Pt 2.56
Ge  0.0000  0.0000  0.0000  4 Pt 2.56
Ge  0.0000  0.5000  0.6323  5 Pt 2.44-2.54
Ge  0.5000  0.0000  0.3677  5 Pt 2.44-2.54
Pt  0.0000  0.0000  0.5000  4 Ge 2.54
Pt  0.0000  0.5000  0.8650  3 Ge 2.44-2.56, 2 Mn 2.56
Pt  0.5000  0.0000  0.1350  3 Ge 2.44-2.56, 2 Mn 2.56
Pt  0.5000  0.5000  0.5000  4 Ge 2.54

Output
Calculated density: 11.616 g cm⁻³
Energy of formation: -0.822 eV per atom


No. 2
The following is a DFT calculation (PBE) of a geometry-optimized Ce2MnGe6Pt structure.

a b c (Å): 6.5366 8.8644 7.0306
angles (deg): 90.00 90.00 90.00
With the nearest neighbours (Å) after each atom.
Fractional coordinates of all 20 atoms:
Ce  0.2500  0.0008  0.2366  1 Mn 3.20, 11 Ge 3.23-3.55, 1 Pt 3.37
Ce  0.2500  0.4992  0.2366  1 Mn 3.20, 11 Ge 3.23-3.55, 1 Pt 3.37
Ce  0.7500  0.5008  0.7634  1 Mn 3.20, 11 Ge 3.23-3.55, 1 Pt 3.37
Ce  0.7500  0.9992  0.7634  1 Mn 3.20, 11 Ge 3.23-3.55, 1 Pt 3.37
Mn  0.2500  0.7500  0.9097  6 Ge 2.30-2.57
Mn  0.7500  0.2500  0.0903  6 Ge 2.30-2.57
Ge  0.0584  0.2500  0.9318  1 Mn 2.30, 1 Ge 2.50
Ge  0.0616  0.7500  0.5885  1 Pt 2.43, 1 Ge 2.46, 1 Mn 2.57
Ge  0.2500  0.5060  0.7562  1 Mn 2.42, 1 Pt 2.52
Ge  0.2500  0.9940  0.7562  1 Mn 2.42, 1 Pt 2.52
Ge  0.4384  0.7500  0.5885  1 Pt 2.43, 1 Ge 2.46, 1 Mn 2.57
Ge  0.4416  0.2500  0.9318  1 Mn 2.30, 1 Ge 2.50
Ge  0.5584  0.7500  0.0682  1 Mn 2.30, 1 Ge 2.50
Ge  0.5616  0.2500  0.4115  1 Pt 2.43, 1 Ge 2.46, 1 Mn 2.57
Ge  0.7500  0.0060  0.2438  1 Mn 2.42, 1 Pt 2.52
Ge  0.7500  0.4940  0.2438  1 Mn 2.42, 1 Pt 2.52
Ge  0.9384  0.2500  0.4115  1 Pt 2.43, 1 Ge 2.46, 1 Mn 2.57
Ge  0.9416  0.7500  0.0682  1 Mn 2.30, 1 Ge 2.50
Pt  0.2500  0.2500  0.5989  6 Ge 2.43-2.65
Pt  0.7500  0.7500  0.4011  6 Ge 2.43-2.65

Output
Calculated density: 7.876 g cm⁻³
Energy of formation: -0.361 eV per atom


No. 3
The following is a DFT calculation (PBE) of a geometry-optimized CeMnGe2Pt5 structure.

a b c (Å): 4.1913 4.1913 9.2165
angles (deg): 90.00 90.00 90.00
With the nearest neighbours (Å) after each atom.
Fractional coordinates of all 9 atoms:
Ce  0.0000  0.0000  0.0000  12 Pt 2.96-2.98
Mn  0.0000  0.0000  0.5000  8 Ge 3.19, 8 Pt 3.25
Ge  0.5000  0.5000  0.3726  1 Ge 2.35, 4 Pt 2.47
Ge  0.5000  0.5000  0.6274  1 Ge 2.35, 4 Pt 2.47
Pt  0.0000  0.5000  0.2303  2 Ge 2.47
Pt  0.0000  0.5000  0.7697  2 Ge 2.47
Pt  0.5000  0.0000  0.2303  2 Ge 2.47
Pt  0.5000  0.0000  0.7697  2 Ge 2.47
Pt  0.5000  0.5000  0.0000  4 Ce 2.96, 8 Pt 2.98

Output
Calculated density: 13.494 g cm⁻³
Energy of formation: -0.499 eV per atom


No. 4
The following is a DFT calculation (PBE) of a geometry-optimized Ce2MnGe4Rh3 structure.

a b c (Å): 4.1845 4.1845 10.3891
angles (deg): 90.00 90.00 90.00
With the nearest neighbours (Å) after each atom.
Fractional coordinates of all 10 atoms:
Ce  0.0000  0.5000  0.2445  6 Rh 3.19-3.38, 8 Ge 3.21-3.29, 2 Mn 3.38
Ce  0.5000  0.0000  0.7555  6 Rh 3.19-3.38, 8 Ge 3.21-3.29, 2 Mn 3.38
Mn  0.0000  0.0000  0.5000  4 Ge 2.52
Ge  0.0000  0.0000  0.0000  4 Rh 2.48
Ge  0.0000  0.5000  0.6346  3 Rh 2.46-2.52, 2 Mn 2.52
Ge  0.5000  0.0000  0.3654  3 Rh 2.46-2.52, 2 Mn 2.52
Ge  0.5000  0.5000  0.0000  4 Rh 2.48
Rh  0.0000  0.5000  0.8711  5 Ge 2.46-2.48
Rh  0.5000  0.0000  0.1289  5 Ge 2.46-2.48
Rh  0.5000  0.5000  0.5000  4 Ge 2.52

Output
Calculated density: 8.530 g cm⁻³
Energy of formation: -0.738 eV per atom


No. 5
The following is a DFT calculation (PBE) of a geometry-optimized Ce2MnGe3Rh4 structure.

a b c (Å): 4.1398 4.1398 10.5804
angles (deg): 90.00 90.00 90.00
With the nearest neighbours (Å) after each atom.
Fractional coordinates of all 10 atoms:
Ce  0.0000  0.5000  0.2463  8 Rh 3.14-3.39, 6 Ge 3.21-3.33, 2 Mn 3.33
Ce  0.5000  0.0000  0.7537  8 Rh 3.14-3.39, 6 Ge 3.21-3.33, 2 Mn 3.33
Mn  0.5000  0.5000  0.0000  4 Rh 2.54
Ge  0.0000  0.0000  0.0000  4 Rh 2.54
Ge  0.0000  0.5000  0.6285  5 Rh 2.46-2.48
Ge  0.5000  0.0000  0.3715  5 Rh 2.46-2.48
Rh  0.0000  0.0000  0.5000  4 Ge 2.48
Rh  0.0000  0.5000  0.8605  3 Ge 2.46-2.54, 2 Mn 2.54
Rh  0.5000  0.0000  0.1395  3 Ge 2.46-2.54, 2 Mn 2.54
Rh  0.5000  0.5000  0.5000  4 Ge 2.48

Output
Calculated density: 8.835 g cm⁻³
Energy of formation: -0.759 eV per atom


No. 6
The following is a DFT calculation (PBE) of a geometry-optimized CeMnGe2Rh structure.

a b c (Å): 4.1126 4.1126 10.6701
angles (deg): 90.00 90.00 90.00
With the nearest neighbours (Å) after each atom.
Fractional coordinates of all 10 atoms:
Ce  0.0000  0.0000  0.0000  8 Ge 3.17, 4 Mn 3.37, 4 Rh 3.37
Ce  0.5000  0.5000  0.5000  8 Ge 3.17, 4 Mn 3.37, 4 Rh 3.37
Mn  0.0000  0.5000  0.7500  4 Ge 2.49
Mn  0.5000  0.0000  0.2500  4 Ge 2.49
Ge  0.0000  0.0000  0.3819  2 Mn 2.49, 2 Rh 2.49, 1 Ge 2.52
Ge  0.0000  0.0000  0.6181  2 Mn 2.49, 2 Rh 2.49, 1 Ge 2.52
Ge  0.5000  0.5000  0.1181  2 Mn 2.49, 2 Rh 2.49, 1 Ge 2.52
Ge  0.5000  0.5000  0.8819  2 Mn 2.49, 2 Rh 2.49, 1 Ge 2.52
Rh  0.0000  0.5000  0.2500  4 Ge 2.49
Rh  0.5000  0.0000  0.7500  4 Ge 2.49

Output
Calculated density: 8.157 g cm⁻³
Energy of formation: -0.645 eV per atom